## 1
A relaxed structure of Y2AlC2, computed with PBE.

Cell and atoms, written as CIF:
```
data_Y2AlC2
_chemical_formula_sum 'Y8 Al4 C8'
_cell_length_a 11.2520
_cell_length_b 5.1009
_cell_length_c 6.8843
_cell_angle_alpha 90.00
_cell_angle_beta 120.07
_cell_angle_gamma 90.00
_space_group_name_H-M_alt 'C 1 2/m 1'
_space_group_IT_number 12
loop_
_space_group_symop_operation_xyz
'x,y,z'
'-x,-y,-z'
'-x,y,-z'
'x,-y,z'
'x+1/2,y+1/2,z'
'-x+1/2,-y+1/2,-z'
'-x+1/2,y+1/2,-z'
'x+1/2,-y+1/2,z'
loop_
_atom_site_label
_atom_site_type_symbol
_atom_site_fract_x
_atom_site_fract_y
_atom_site_fract_z
Y1 Y 0.0346 0.0000 0.2678
Y2 Y 0.1721 0.5000 0.0893
Al1 Al 0.1334 0.5000 0.6288
C1 C 0.0242 0.5000 0.2886
C2 C 0.1775 0.0000 0.1023
```

As for the density of states at the Fermi level: 9.26 states/eV per cell.

## 2
A relaxed structure of Y2AlC2, computed with PBE.

Cell and atoms, written as CIF:
```
data_Y2AlC2
_chemical_formula_sum 'Y2 Al1 C2'
_cell_length_a 4.1822
_cell_length_b 4.1822
_cell_length_c 5.0411
_cell_angle_alpha 90.00
_cell_angle_beta 90.00
_cell_angle_gamma 90.00
_space_group_name_H-M_alt 'P 4/m m m'
_space_group_IT_number 123
_space_group_name_Hall '-P 4 2'
loop_
_atom_site_label
_atom_site_type_symbol
_atom_site_fract_x
_atom_site_fract_y
_atom_site_fract_z
Y1 Y 0.0000 0.0000 0.0000
Y2 Y 0.5000 0.5000 0.0000
Al1 Al 0.0000 0.0000 0.5000
C1 C 0.0000 0.5000 0.5000
```

As for the density of states at the Fermi level: 4.01 states/eV per cell.

Comparing the structures above, 1 comes out on top by 1877 meV/atom.